# Sr2MnAl, PBEsol geometry, DFT meta-GGA SCAN
# E	-17.5634	eV per atom
# volume	233.1	Å³/cell
# DFT formation energy	0.3	eV/f.u.
# magnetization	1.172	μB/atom
data_Sr2MnAl
_chemical_formula_sum 'Sr4 Mn2 Al2'
_cell_length_a 7.678
_cell_length_b 7.688
_cell_length_c 3.950
_cell_angle_alpha 90.00
_cell_angle_beta 90.00
_cell_angle_gamma 90.00
_symmetry_space_group_name_H-M 'C m m m'
_symmetry_Int_Tables_number 65
_symmetry_space_group_name_Hall '-C 2 2'
loop_
_atom_site_label
_atom_site_fract_x
_atom_site_fract_y
_atom_site_fract_z
Sr1 0.250 0.250 0.000
Mn1 0.000 0.000 0.500
Al1 0.000 0.500 0.500

# TaMn2Al, PBEsol geometry, DFT meta-GGA SCAN
# E	-28.0539	eV per atom
# volume	52.3	Å³/cell
# DFT formation energy	-1.4	eV/f.u.
# magnetization	0.492	μB/atom
data_TaMn2Al
_chemical_formula_sum 'Ta1 Mn2 Al1'
_cell_length_a 4.136
_cell_length_b 4.136
_cell_length_c 3.058
_cell_angle_alpha 90.00
_cell_angle_beta 90.00
_cell_angle_gamma 90.00
_symmetry_space_group_name_H-M 'P 4/m m m'
_symmetry_Int_Tables_number 123
_symmetry_space_group_name_Hall '-P 4 2'
loop_
_atom_site_label
_atom_site_fract_x
_atom_site_fract_y
_atom_site_fract_z
Ta1 0.000 0.000 0.000
Mn1 0.000 0.500 0.500
Al1 0.500 0.500 0.000